Record 1
The following is a DFT calculation (PBE-GGA) of crystalline Na6OsBr12 at its relaxed geometry. Values from VASP.

Geometry as Quantum ESPRESSO input:
```
&SYSTEM
  ibrav = 0, nat = 19, ntyp = 3
/
ATOMIC_SPECIES
Br 79.90 Br.upf
Na 22.99 Na.upf
Os 190.23 Os.upf
ATOMIC_POSITIONS angstrom
Br 2.725 5.514 0.511
Br 1.254 3.666 4.804
Na 0.848 5.656 2.671
Br 5.118 3.882 6.221
Na 5.071 3.735 0.433
Os 0.000 0.000 0.000
Br 5.261 1.889 2.616
Br 8.382 0.944 5.272
Br 2.582 7.507 4.116
Br 8.073 2.850 -0.754
Na 6.995 3.740 4.061
Na 4.383 7.551 1.786
Na 3.461 1.845 4.946
Br 6.589 5.729 1.928
Br -0.229 6.546 7.486
Br 2.718 0.980 8.094
Br 5.125 8.416 -1.362
Br -0.539 8.452 1.460
Na 2.773 5.661 6.299
CELL_PARAMETERS angstrom
8.580 0.438 -0.946
-1.103 8.520 -0.946
0.365 0.438 8.625
```

The value obtained for the uncorrected formation energy is -17.91 eV/f.u. The value obtained for the total energy is -3.007 eV/atom. As for the space group: R-3, No. 148.



Record 2
The following is a DFT calculation (PBE-GGA) of crystalline NaPm3Tm2Te6 at its relaxed geometry. Values from VASP.

Geometry as Quantum ESPRESSO input:
```
&SYSTEM
  ibrav = 0, nat = 12, ntyp = 4
/
ATOMIC_SPECIES
Na 22.99 Na.upf
Tm 168.93 Tm.upf
Pm 145.00 Pm.upf
Te 127.60 Te.upf
ATOMIC_POSITIONS angstrom
Na 2.191 0.000 0.000
Tm 0.000 2.132 3.168
Pm 2.191 4.443 0.135
Te 2.191 4.220 3.321
Pm 2.191 -0.185 6.394
Tm 2.191 4.142 6.411
Te 0.000 2.054 6.259
Te 0.000 2.164 0.179
Pm 0.000 6.459 3.186
Te 0.000 6.344 6.397
Te 2.191 -0.070 3.182
Te 2.191 4.110 9.401
CELL_PARAMETERS angstrom
4.382 0.000 0.000
0.000 8.886 0.269
-2.191 -2.612 9.310
```

The value obtained for the uncorrected formation energy is -15.82 eV/f.u. The value obtained for the total energy is -4.932 eV/atom. As for the space group: C2/m, No. 12.



Record 3
The following is a DFT calculation (PBE-GGA) of crystalline PrHfIrO6 at its relaxed geometry. Values from VASP.

Geometry as Quantum ESPRESSO input:
```
&SYSTEM
  ibrav = 0, nat = 18, ntyp = 4
/
ATOMIC_SPECIES
Ir 192.22 Ir.upf
Hf 178.49 Hf.upf
O 16.00 O.upf
Pr 140.91 Pr.upf
ATOMIC_POSITIONS angstrom
Ir 4.194 -7.037 1.676
Hf 3.418 -2.114 0.258
O 1.359 -2.478 -3.947
O 4.449 -7.624 3.567
O 0.246 -4.506 -2.245
Pr 0.776 -4.923 1.418
O 5.562 -5.596 1.866
Hf 2.390 -7.988 -0.637
O 2.051 -3.630 -0.191
O 5.734 -8.146 1.053
O 2.762 -5.872 2.437
O 2.899 -8.515 1.321
O 3.758 -6.471 -0.189
O 3.046 -4.230 -2.816
O 2.909 -1.587 -1.700
O 0.075 -1.956 -1.433
Ir 1.614 -3.064 -2.055
Pr 0.000 0.000 0.000
CELL_PARAMETERS angstrom
-0.577 -1.553 -5.078
4.835 1.298 1.862
1.551 -9.846 2.836
```

The value obtained for the uncorrected formation energy is -21.07 eV/f.u. The value obtained for the total energy is -8.268 eV/atom. As for the space group: P-31c, No. 163.



Record 4
The following is a DFT calculation (PBE-GGA) of crystalline Sr2GaPAu at its relaxed geometry. Values from VASP.

Geometry as Quantum ESPRESSO input:
```
&SYSTEM
  ibrav = 0, nat = 10, ntyp = 4
/
ATOMIC_SPECIES
Ga 69.72 Ga.upf
Sr 87.62 Sr.upf
Au 196.97 Au.upf
P 30.97 P.upf
ATOMIC_POSITIONS angstrom
Ga 1.201 1.601 5.994
Sr 1.201 0.249 3.200
Au 3.602 0.708 5.693
P 1.201 2.870 8.122
Sr 3.602 4.625 1.159
Sr 3.602 3.930 6.358
Sr 1.201 -0.446 8.399
Au 1.201 3.471 3.865
Ga 3.602 2.578 3.564
P 3.602 1.309 1.436
CELL_PARAMETERS angstrom
4.802 0.000 0.000
0.000 6.346 0.657
0.000 -2.167 8.900
```

The value obtained for the total energy is -3.785 eV/atom. The calculation puts the energy relative to the elements at -0.769 eV per atom. As for the space group: P2_1/m, No. 11.



Question: Which formula does entry 2 have?
Answer: NaPm3Tm2Te6



Please write out number 3 again, unchanged.
The following is a DFT calculation (PBE-GGA) of crystalline PrHfIrO6 at its relaxed geometry. Values from VASP.

Geometry as Quantum ESPRESSO input:
```
&SYSTEM
  ibrav = 0, nat = 18, ntyp = 4
/
ATOMIC_SPECIES
Ir 192.22 Ir.upf
Hf 178.49 Hf.upf
O 16.00 O.upf
Pr 140.91 Pr.upf
ATOMIC_POSITIONS angstrom
Ir 4.194 -7.037 1.676
Hf 3.418 -2.114 0.258
O 1.359 -2.478 -3.947
O 4.449 -7.624 3.567
O 0.246 -4.506 -2.245
Pr 0.776 -4.923 1.418
O 5.562 -5.596 1.866
Hf 2.390 -7.988 -0.637
O 2.051 -3.630 -0.191
O 5.734 -8.146 1.053
O 2.762 -5.872 2.437
O 2.899 -8.515 1.321
O 3.758 -6.471 -0.189
O 3.046 -4.230 -2.816
O 2.909 -1.587 -1.700
O 0.075 -1.956 -1.433
Ir 1.614 -3.064 -2.055
Pr 0.000 0.000 0.000
CELL_PARAMETERS angstrom
-0.577 -1.553 -5.078
4.835 1.298 1.862
1.551 -9.846 2.836
```

The value obtained for the uncorrected formation energy is -21.07 eV/f.u. The value obtained for the total energy is -8.268 eV/atom. As for the space group: P-31c, No. 163.